Entry from Alexandria via LeMat-Bulk: RbBeCoCl2 at its PBEsol-relaxed geometry (SCAN).

Computed properties:
raw formation energy	0.85	eV per atom
total moment	2.9	Bohr magnetons per cell
uncorrected energy	-54.085	eV for the cell shown

The structure in CIF format:
```
data_RbBeCoCl2
_cell_length_a 5.078
_cell_length_b 5.743
_cell_length_c 5.743
_cell_angle_alpha 90.00
_cell_angle_beta 90.00
_cell_angle_gamma 90.00
_space_group_name_H-M_alt 'P 1'
_space_group_IT_number 1
_space_group_name_Hall 'P 1'
loop_
_atom_site_label
_atom_site_type_symbol
_atom_site_fract_x
_atom_site_fract_y
_atom_site_fract_z
_atom_site_occupancy
Rb1 Rb 0.000 0.000 0.000 1
Cl1 Cl 0.000 0.000 0.500 1
Cl2 Cl 0.000 0.500 0.000 1
Co1 Co 0.500 0.000 0.000 1
Be1 Be 0.500 0.500 0.500 1
```